# PBE-GGA HfMnNiPd, optimized geometry
data_HfMnNiPd
_symmetry_space_group_name_H-M 'P 1'
_symmetry_Int_Tables_number 1
_cell_length_a 4.4554
_cell_length_b 4.4554
_cell_length_c 4.4554
_cell_angle_alpha 60.00
_cell_angle_beta 60.00
_cell_angle_gamma 60.00
loop_
_symmetry_equiv_pos_as_xyz
'x,y,z'
loop_
_atom_site_label
_atom_site_fract_x
_atom_site_fract_y
_atom_site_fract_z
Hf1 0.0000 0.0000 0.0000
Mn1 0.5000 0.5000 0.5000
Ni1 0.2500 0.2500 0.2500
Pd1 0.7500 0.7500 0.7500
# Size of the total moment: 1.074 μB per atom
# Crystal system: cubic
# Space-group type: F-43m (216)
# ΔE_f: -335 meV per atom

# PBE-GGA HfMnNiRh, optimized geometry
data_HfMnNiRh
_symmetry_space_group_name_H-M 'P 1'
_symmetry_Int_Tables_number 1
_cell_length_a 4.4118
_cell_length_b 4.4118
_cell_length_c 4.4118
_cell_angle_alpha 60.00
_cell_angle_beta 60.00
_cell_angle_gamma 60.00
loop_
_symmetry_equiv_pos_as_xyz
'x,y,z'
loop_
_atom_site_label
_atom_site_fract_x
_atom_site_fract_y
_atom_site_fract_z
Hf1 0.0000 0.0000 0.0000
Mn1 0.5000 0.5000 0.5000
Ni1 0.2500 0.2500 0.2500
Rh1 0.7500 0.7500 0.7500
# Size of the total moment: 1.069 μB per atom
# Crystal system: cubic
# Space-group type: F-43m (216)
# ΔE_f: -423 meV per atom

# PBE-GGA HfMnNiS2, optimized geometry
data_HfMnNiS2
_symmetry_space_group_name_H-M 'P 1'
_symmetry_Int_Tables_number 1
_cell_length_a 4.2167
_cell_length_b 4.2167
_cell_length_c 4.9686
_cell_angle_alpha 90.00
_cell_angle_beta 90.00
_cell_angle_gamma 90.00
loop_
_symmetry_equiv_pos_as_xyz
'x,y,z'
loop_
_atom_site_label
_atom_site_fract_x
_atom_site_fract_y
_atom_site_fract_z
Hf1 0.0000 0.0000 0.0000
Mn1 0.0000 0.0000 0.5000
Ni1 0.5000 0.5000 0.0000
S1 0.0000 0.5000 0.5000
S2 0.5000 0.0000 0.5000
# Size of the total moment: 0.081 μB per atom
# Crystal system: tetragonal
# Raw formation energy: 0.455 eV/atom
# Space-group type: P4/mmm (123)

# PBE-GGA HfScMnNi, optimized geometry
data_HfScMnNi
_symmetry_space_group_name_H-M 'P 1'
_symmetry_Int_Tables_number 1
_cell_length_a 4.4597
_cell_length_b 4.4597
_cell_length_c 4.4597
_cell_angle_alpha 60.00
_cell_angle_beta 60.00
_cell_angle_gamma 60.00
loop_
_symmetry_equiv_pos_as_xyz
'x,y,z'
loop_
_atom_site_label
_atom_site_fract_x
_atom_site_fract_y
_atom_site_fract_z
Hf1 0.0000 0.0000 0.0000
Sc1 0.5000 0.5000 0.5000
Mn1 0.7500 0.7500 0.7500
Ni1 0.2500 0.2500 0.2500
# Size of the total moment: 0.000 μB per atom
# Crystal system: cubic
# Space-group type: F-43m (216)
# ΔE_f: -222 meV per atom

# PBE-GGA HfMnNiSn, optimized geometry
data_HfMnNiSn
_symmetry_space_group_name_H-M 'P 1'
_symmetry_Int_Tables_number 1
_cell_length_a 4.4495
_cell_length_b 4.4495
_cell_length_c 4.4495
_cell_angle_alpha 60.00
_cell_angle_beta 60.00
_cell_angle_gamma 60.00
loop_
_symmetry_equiv_pos_as_xyz
'x,y,z'
loop_
_atom_site_label
_atom_site_fract_x
_atom_site_fract_y
_atom_site_fract_z
Hf1 0.0000 0.0000 0.0000
Mn1 0.2500 0.2500 0.2500
Ni1 0.7500 0.7500 0.7500
Sn1 0.5000 0.5000 0.5000
# Size of the total moment: 0.160 μB per atom
# Crystal system: cubic
# Space-group type: F-43m (216)
# ΔE_f: -187 meV per atom

# PBE-GGA HfMn2NiSn, optimized geometry
data_HfMn2NiSn
_symmetry_space_group_name_H-M 'P 1'
_symmetry_Int_Tables_number 1
_cell_length_a 4.8447
_cell_length_b 4.8447
_cell_length_c 5.3547
_cell_angle_alpha 90.00
_cell_angle_beta 90.00
_cell_angle_gamma 90.00
loop_
_symmetry_equiv_pos_as_xyz
'x,y,z'
loop_
_atom_site_label
_atom_site_fract_x
_atom_site_fract_y
_atom_site_fract_z
Hf1 0.0000 0.0000 0.0000
Mn1 0.0000 0.5000 0.5000
Mn2 0.5000 0.0000 0.5000
Ni1 0.5000 0.5000 0.0000
Sn1 0.0000 0.0000 0.5000
# Size of the total moment: 1.616 μB per atom
# Crystal system: tetragonal
# Space-group type: P4/mmm (123)
# ΔE_f: 1449 meV per atom